## NaMnAsO3 (PBE with a Hubbard U)

Data for NaMnAsO3 after structural relaxation.

The space group is Cmcm (No. 63) and the conventional cell measures 4.117, 10.668 and 8.535 Å, with angles of 90.00, 90.00 and 90.00 degrees. Symmetry generates all atoms from Na at (0.000, 0.232, 0.250), Mn at (0.000, 0.000, 0.000), As at (0.000, 0.491, 0.750), O at (0.000, 0.001, 0.250) and O at (0.000, 0.385, 0.586).

The value obtained for the total energy is -0.43825 Ry per atom.